Computed, not measured: a relaxed CoSN2O crystal at the PBE+U level of DFT.

The energy is -4.696 eV/atom. Its crystal system is tetragonal.

It has space group P4/mmm (No. 123), with a = 3.838 Å, b = 3.838 Å, c = 3.489 Å, α = 90.00°, β = 90.00° and γ = 90.00°. The distinct sites, in fractional coordinates, are Co at (0.000, 0.000, 0.000), S at (0.500, 0.500, 0.500), N at (0.000, 0.500, 0.000) and O at (0.000, 0.000, 0.500).